1.
Below is a geometry-optimized Li3Cu5Cl12 structure, with properties calculated at the PBE level.

Geometry as POSCAR:
```
Li3Cu5Cl12
1.0
13.1567 0.0000 0.0000
-4.3856 12.4043 0.0000
-4.3856 -6.2021 10.7424
Li Cu Cl
12 20 48
Cartesian
7.6747 3.8763 1.3428 Li
7.6747 8.5279 1.3428 Li
-1.0964 5.4269 6.7140 Li
1.0964 -0.7753 4.0284 Li
9.8675 0.0000 2.6856 Li
1.0964 6.2021 2.6856 Li
3.2892 0.0000 8.0568 Li
-5.4820 6.2021 8.0568 Li
3.2892 6.9774 6.7140 Li
5.4820 0.7753 4.0284 Li
-3.2892 -2.3258 9.3996 Li
-3.2892 2.3258 9.3996 Li
-1.0964 3.1011 2.6856 Cu
-2.1928 6.2021 0.0000 Cu
0.0000 0.0000 0.0000 Cu
3.2892 2.3258 1.3428 Cu
4.3856 -3.1011 5.3712 Cu
4.3856 6.2021 0.0000 Cu
-3.2892 6.9774 4.0284 Cu
5.4820 -3.8763 9.3996 Cu
5.4820 5.4269 4.0284 Cu
1.0964 -3.1011 8.0568 Cu
3.2892 9.3032 2.6856 Cu
2.1928 3.1011 5.3712 Cu
6.5784 0.0000 0.0000 Cu
-2.1928 -3.1011 5.3712 Cu
-1.0964 0.7753 6.7140 Cu
-1.0964 10.0785 1.3428 Cu
-4.3856 3.1011 5.3712 Cu
7.6747 -0.7753 6.7140 Cu
1.0964 3.8763 9.3996 Cu
5.4820 3.1011 8.0568 Cu
8.4383 1.5270 0.2187 Cl
0.3328 4.0540 4.1581 Cl
9.9324 2.6423 3.3024 Cl
5.4171 1.5622 1.4317 Cl
1.3731 4.4218 7.2213 Cl
9.4455 6.5347 1.8501 Cl
-1.1612 7.2821 4.7341 Cl
-3.2243 10.8420 1.4317 Cl
0.8197 7.9825 7.2213 Cl
5.9040 5.8696 1.8501 Cl
6.9112 3.6751 3.9395 Cl
6.9112 10.8773 0.2187 Cl
-3.5659 5.3637 5.5899 Cl
2.8672 4.4336 0.6371 Cl
-4.7184 8.7291 3.9395 Cl
2.5256 -2.1482 6.5843 Cl
-0.8196 0.9419 2.0688 Cl
2.8672 7.6381 1.2131 Cl
5.4171 9.7620 3.3024 Cl
-0.6744 4.7662 1.2131 Cl
-3.0124 7.1440 8.6736 Cl
3.3540 5.1221 4.7341 Cl
5.7587 7.0406 5.5899 Cl
5.0600 -1.7685 10.1053 Cl
1.0315 1.0800 6.0083 Cl
-1.3731 -0.8385 5.1525 Cl
-0.6744 7.9706 0.6371 Cl
-1.0315 -3.5599 7.4400 Cl
7.3980 -0.9419 2.0688 Cl
5.0600 1.4360 9.5294 Cl
1.5184 -1.4360 9.5294 Cl
1.8600 8.3503 4.1581 Cl
5.2052 5.2602 8.6736 Cl
9.1039 -2.5270 6.8030 Cl
7.9515 0.8385 5.1525 Cl
-2.5256 -4.6751 10.5237 Cl
1.5184 1.7685 10.1053 Cl
3.5659 -1.7804 3.5211 Cl
-1.5184 0.3325 8.8923 Cl
-2.5256 2.5270 6.8030 Cl
7.6099 -4.6399 9.3107 Cl
5.5468 -1.0800 6.0083 Cl
-1.0315 4.6399 9.3107 Cl
-5.0600 -0.3326 8.8923 Cl
3.0124 1.7804 3.5211 Cl
-5.5468 3.5599 7.4400 Cl
4.0528 2.1482 6.5843 Cl
-4.0528 4.6752 10.5237 Cl
```

Summary:
Symmetry = Ia-3d, No. 230
M_tot = 0.000 μB per atom
Raw formation energy = -0.82 eV per atom

2.
Below is a geometry-optimized LiCu2Cl8 structure, with properties calculated at the PBE level.

Geometry as POSCAR:
```
LiCu2Cl8
1.0
6.7712 0.0000 0.0000
0.0000 6.7712 0.0000
-3.3856 -3.3856 5.9934
Li Cu Cl
1 2 8
Cartesian
3.3856 3.3856 0.0000 Li
3.3856 0.0000 2.9967 Cu
0.0000 3.3856 2.9967 Cu
4.4603 1.1213 1.4790 Cl
-2.2643 1.0747 4.5144 Cl
2.2643 -1.0747 4.5144 Cl
-1.0747 -2.2643 4.5144 Cl
2.3109 5.6499 1.4790 Cl
5.6499 4.4603 1.4790 Cl
1.1213 2.3109 1.4790 Cl
1.0747 2.2643 4.5144 Cl
```

Summary:
Symmetry = I422, No. 97
M_tot = 0.073 μB per atom
Raw formation energy = -0.44 eV per atom

3.
Below is a geometry-optimized Li2CuCl structure, with properties calculated at the PBE level.

Geometry as POSCAR:
```
Li2CuCl
1.0
3.3817 0.0136 0.0000
-0.0132 3.3817 0.0000
0.0000 0.0000 6.6404
Cl Cu Li
1 1 2
Cartesian
0.0000 0.0000 2.1610 Cl
1.6842 1.6976 5.3953 Cu
0.0000 0.0000 6.4143 Li
1.6842 1.6976 2.6305 Li
```

Summary:
Symmetry = P4mm, No. 99
ΔE to the lowest computed polymorph = 26 meV/atom
M_tot = 0.000 μB per atom
Raw formation energy = -0.61 eV per atom

4.
Below is a geometry-optimized LiCu3Cl structure, with properties calculated at the PBE level.

Geometry as POSCAR:
```
LiCu3Cl
1.0
-3.5134 1.8536 -1.7844
-2.2866 -3.6341 0.7272
-1.1796 1.5236 3.9053
Li Cu Cl
1 3 1
Cartesian
0.0000 0.0000 0.0000 Li
-1.1433 -1.8171 0.3636 Cu
-0.5898 0.7618 1.9526 Cu
-1.7567 0.9268 -0.8922 Cu
-3.4898 -0.1284 1.4240 Cl
```

Summary:
Symmetry = Pm-3m, No. 221
ΔE to the lowest computed polymorph = 42 meV/atom
M_tot = 0.000 μB per atom
Raw formation energy = 0.75 eV per atom

5.
Below is a geometry-optimized Li2CuCl structure, with properties calculated at the PBE level.

Geometry as POSCAR:
```
Li2CuCl
1.0
-0.5132 -4.5682 0.6646
1.0707 -2.9763 -3.4012
3.7412 -2.7247 0.3906
Cl Cu Li
1 1 2
Cartesian
2.1493 -5.1346 -1.1730 Cl
3.2240 -7.7019 -1.7596 Cu
0.0000 0.0000 0.0000 Li
1.0747 -2.5673 -0.5865 Li
```

Summary:
Symmetry = F-43m, No. 216
ΔE to the lowest computed polymorph = 504 meV/atom
M_tot = 0.000 μB per atom
Raw formation energy = -0.13 eV per atom

6.
Below is a geometry-optimized Li2CuCl structure, with properties calculated at the PBE level.

Geometry as POSCAR:
```
Li2CuCl
1.0
6.9919 0.1764 0.0000
5.1378 4.7456 0.0000
-6.0649 -2.4610 2.4655
Cl Cu Li
1 1 2
Cartesian
6.0649 2.4610 0.0000 Cl
3.4960 0.0882 1.2328 Cu
0.0000 0.0000 0.0000 Li
2.5689 2.3728 1.2328 Li
```

Summary:
Symmetry = I-4m2, No. 119
ΔE to the lowest computed polymorph = 126 meV/atom
M_tot = 0.000 μB per atom
Raw formation energy = -0.51 eV per atom

7.
Below is a geometry-optimized LiCuCl structure, with properties calculated at the PBE level.

Geometry as POSCAR:
```
LiCuCl
1.0
6.6434 0.1307 0.0000
5.0050 4.3705 0.0000
-5.8242 -2.2506 2.2727
Cl Cu Li
1 1 1
Cartesian
10.6809 4.1274 0.0000 Cl
8.3284 3.2183 0.0000 Cu
4.2873 1.6567 0.0000 Li
```

Summary:
Symmetry = I4mm, No. 107
ΔE to the lowest computed polymorph = 435 meV/atom
M_tot = 0.000 μB per atom
Raw formation energy = -0.39 eV per atom

8.
Below is a geometry-optimized Li2CuCl4 structure, with properties calculated at the PBE level.

Geometry as POSCAR:
```
Li2CuCl4
1.0
-4.2322 -0.0389 -4.4824
4.2195 -2.1151 -3.9657
-0.9924 -2.7458 5.2002
Li Cu Cl
2 1 4
Cartesian
-2.6155 -1.9309 -1.7531 Li
1.6104 -2.9689 -1.4947 Li
-0.0063 -1.0770 -4.2240 Cu
-2.2374 -1.4258 -4.1317 Cl
1.7844 -2.4138 -3.8859 Cl
-0.7816 -3.4925 -1.2491 Cl
-0.7756 -2.4675 2.7710 Cl
```

Summary:
Symmetry = I-42m, No. 121
ΔE to the lowest computed polymorph = 6 meV/atom
M_tot = 0.152 μB per atom
Raw formation energy = -1.20 eV per atom

9.
Below is a geometry-optimized Li6CuCl8 structure, with properties calculated at the PBE level.

Geometry as POSCAR:
```
Li6CuCl8
1.0
-5.0932 -5.1726 -0.3258
1.2590 -6.1089 -3.7282
0.9658 -6.2774 3.5305
Li Cu Cl
6 1 8
Cartesian
1.1124 -6.1931 -0.0988 Li
-2.5466 -2.5863 -0.1629 Li
-1.9171 -5.6408 -2.0270 Li
0.4829 -3.1387 1.7652 Li
0.6295 -3.0544 -1.8641 Li
-2.0637 -5.7250 1.6023 Li
0.0000 0.0000 0.0000 Cu
-2.1513 -13.1692 -0.3926 Cl
-0.7171 -4.3897 -0.1309 Cl
-3.3426 -6.8983 -0.2952 Cl
0.4742 -10.6606 -0.2283 Cl
-0.1825 -7.4745 1.7161 Cl
-2.6859 -10.0844 -2.2396 Cl
-2.8388 -10.1723 1.5462 Cl
-0.0295 -7.3866 -2.0697 Cl
```

Summary:
Symmetry = Fm-3m, No. 225
M_tot = 0.067 μB per atom
Raw formation energy = -1.53 eV per atom

10.
Below is a geometry-optimized LiCuCl structure, with properties calculated at the PBE level.

Geometry as POSCAR:
```
LiCuCl
1.0
3.2472 0.0000 0.0000
-1.6236 2.8122 0.0000
0.0000 0.0000 5.5837
Cl Cu Li
1 1 1
Cartesian
0.0000 0.0000 5.4248 Cl
1.6236 0.9374 1.7664 Cu
0.0000 1.8748 3.9762 Li
```

Summary:
Symmetry = P3m1, No. 156
ΔE to the lowest computed polymorph = 424 meV/atom
M_tot = 0.000 μB per atom
Raw formation energy = -0.41 eV per atom

11.
Below is a geometry-optimized Li3CuCl4 structure, with properties calculated at the PBE level.

Geometry as POSCAR:
```
Li3CuCl4
1.0
3.7402 0.0000 0.0000
0.0000 6.2607 0.3264
0.0000 -1.6641 6.0443
Li Cu Cl
3 1 4
Cartesian
0.0000 -0.8320 3.0222 Li
1.8701 2.2983 3.1854 Li
0.0000 3.1303 0.1632 Li
1.8701 0.0000 0.0000 Cu
0.0000 1.3052 1.8089 Cl
1.8701 4.4537 1.6302 Cl
0.0000 3.2915 4.5618 Cl
1.8701 0.1429 4.7405 Cl
```

Summary:
Symmetry = Cmmm, No. 65
ΔE to the lowest computed polymorph = 59 meV/atom
M_tot = 0.003 μB per atom
Raw formation energy = -1.41 eV per atom

12.
Below is a geometry-optimized Li2CuCl structure, with properties calculated at the PBE level.

Geometry as POSCAR:
```
Li2CuCl
1.0
-0.8086 2.7555 1.9466
0.3553 -0.1389 3.4483
5.9687 3.0553 1.2627
Cl Cu Li
1 1 2
Cartesian
4.1366 4.2540 4.9932 Cl
1.3789 1.4180 1.6644 Cu
5.8340 3.0072 1.2743 Li
2.8924 2.8841 3.3172 Li
```

Summary:
Symmetry = C2/m, No. 12
ΔE to the lowest computed polymorph = 0 meV/atom
M_tot = 0.000 μB per atom
Raw formation energy = -0.64 eV per atom

13.
Below is a geometry-optimized LiCuCl structure, with properties calculated at the PBE level.

Geometry as POSCAR:
```
LiCuCl
1.0
3.4230 0.0000 0.0000
0.0000 3.4230 0.0000
0.0000 0.0000 9.7076
Cu Cl Li
2 2 2
Cartesian
0.0000 0.0000 0.0000 Cu
1.7115 1.7115 0.0000 Cu
0.0000 1.7115 6.2394 Cl
1.7115 0.0000 3.4682 Cl
0.0000 1.7115 3.7142 Li
1.7115 0.0000 5.9934 Li
```

Summary:
Symmetry = P4/nmm, No. 129
ΔE to the lowest computed polymorph = 0 meV/atom
M_tot = 0.000 μB per atom
Raw formation energy = -0.83 eV per atom

14.
Below is a geometry-optimized Li2CuCl4 structure, with properties calculated at the PBE level.

Geometry as POSCAR:
```
Li2CuCl4
1.0
-2.1896 -4.5317 -4.0230
5.3198 1.3345 -4.3986
6.8131 -8.3563 5.7047
Li Cu Cl
8 4 16
Cartesian
8.5110 -10.3368 -2.9581 Li
3.1458 -2.5082 -3.6969 Li
6.4366 -4.9940 1.7726 Li
1.7932 -5.2679 -0.5513 Li
1.4323 -1.2167 0.2413 Li
6.7975 -9.0453 0.9800 Li
3.5067 -6.5594 -4.4895 Li
8.1500 -6.2855 -2.1655 Li
3.4065 -4.1781 2.8524 Cu
4.9716 -5.7767 -1.3584 Cu
2.6599 0.6672 -2.1993 Cu
-1.0948 -2.2658 -2.0115 Cu
5.4471 -7.3745 -2.9745 Cl
6.9111 -4.0187 -2.3917 Cl
6.8584 -8.6190 3.9734 Cl
0.6700 -3.0947 -4.0409 Cl
4.4961 -4.1789 0.2576 Cl
3.0322 -7.5348 -0.3251 Cl
3.0849 -2.9344 -6.6903 Cl
9.2733 -8.4588 1.3241 Cl
4.5737 -6.1575 3.1960 Cl
3.2737 -4.8959 -2.6772 Cl
6.5588 -10.1303 -1.2271 Cl
5.4803 -1.9232 -4.7253 Cl
5.3696 -5.3960 -5.9128 Cl
6.6696 -6.6576 -0.0396 Cl
3.3845 -1.4231 -1.4897 Cl
4.4629 -9.6302 2.0084 Cl
```

Summary:
Symmetry = Pbca, No. 61
ΔE to the lowest computed polymorph = 0 meV/atom
M_tot = 0.143 μB per atom
Raw formation energy = -1.21 eV per atom

15.
Below is a geometry-optimized Li2CuCl structure, with properties calculated at the PBE level.

Geometry as POSCAR:
```
Li2CuCl
1.0
-0.7256 -5.0133 1.9818
-1.4585 -1.0433 -5.1353
4.2875 1.0404 3.1816
Cl Cu Li
1 1 2
Cartesian
1.2349 -3.5006 1.7933 Cl
0.8685 -1.5156 -1.7653 Cu
-2.1308 -5.9087 -3.0766 Li
-1.1454 -3.1762 -1.6538 Li
```

Summary:
Symmetry = Immm, No. 71
ΔE to the lowest computed polymorph = 159 meV/atom
M_tot = 0.000 μB per atom
Raw formation energy = -0.48 eV per atom

16.
Below is a geometry-optimized LiCu3Cl6 structure, with properties calculated at the PBE level.

Geometry as POSCAR:
```
LiCu3Cl6
1.0
3.7127 0.0000 0.0000
0.0000 7.5721 0.0686
0.0000 -2.3162 7.2095
Li Cu Cl
1 3 6
Cartesian
0.0000 2.6280 3.6391 Li
1.8564 3.7861 0.0343 Cu
0.0000 0.0000 0.0000 Cu
1.8564 -1.1581 3.6048 Cu
0.0000 -0.3166 2.2458 Cl
0.0000 5.5726 5.0323 Cl
0.0000 2.2314 0.4057 Cl
0.0000 3.0245 6.8724 Cl
1.8564 4.1402 2.5470 Cl
1.8564 1.1158 4.7311 Cl
```

Summary:
Symmetry = Cmmm, No. 65
M_tot = 0.000 μB per atom
Raw formation energy = -0.69 eV per atom

17.
Below is a geometry-optimized LiCuCl structure, with properties calculated at the PBE level.

Geometry as POSCAR:
```
LiCuCl
1.0
6.2033 -0.0157 0.0111
5.0422 2.9603 0.0108
1.1611 -0.9892 2.8069
Cl Cu Li
1 1 1
Cartesian
1.2599 -0.9507 2.7796 Cl
4.6064 0.3548 1.8554 Cu
7.7012 1.5620 1.0007 Li
```

Summary:
Symmetry = Fmm2, No. 42
ΔE to the lowest computed polymorph = 466 meV/atom
M_tot = 0.000 μB per atom
Raw formation energy = -0.36 eV per atom

18.
Below is a geometry-optimized Li3CuCl6 structure, with properties calculated at the PBE level.

Geometry as POSCAR:
```
Li3CuCl6
1.0
6.8306 0.0000 0.0000
0.0000 8.7171 -0.3864
0.0000 -2.3218 8.4110
Li Cu Cl
6 2 12
Cartesian
2.5875 5.9641 5.0432 Li
6.0028 3.5851 6.9391 Li
2.9004 3.0717 4.1127 Li
6.3157 3.3235 3.9120 Li
6.0028 0.4311 2.9815 Li
2.5875 2.8101 1.0856 Li
0.6353 0.1043 6.4775 Cu
4.0506 6.2909 1.5471 Cu
1.1570 4.0689 5.5612 Cl
4.5723 4.5130 5.2073 Cl
0.6211 1.4594 8.1708 Cl
4.0363 7.6391 3.2459 Cl
2.3857 -0.9360 7.3066 Cl
5.7392 1.1542 5.6408 Cl
2.3239 5.2410 2.3839 Cl
5.8010 7.3312 0.7181 Cl
0.6211 -1.2439 4.7787 Cl
4.0363 4.9358 -0.1461 Cl
1.1570 1.8823 2.8174 Cl
4.5723 2.3264 2.4635 Cl
```

Summary:
Symmetry = Cmc2_1, No. 36
M_tot = 0.000 μB per atom
Raw formation energy = -1.17 eV per atom

19.
Below is a geometry-optimized Li4CuCl5 structure, with properties calculated at the PBE level.

Geometry as POSCAR:
```
Li4CuCl5
1.0
3.8635 0.0000 0.4728
1.9028 3.3624 0.4728
0.0052 0.0030 15.9774
Li Cu Cl
4 1 5
Cartesian
3.1773 1.8527 6.0799 Li
0.8690 0.5067 8.9200 Li
4.3267 2.5230 12.7084 Li
2.0172 1.1762 15.5585 Li
5.4775 3.1940 3.3057 Cu
5.7629 3.3604 0.9736 Cl
3.4680 2.0222 3.7042 Cl
1.1588 0.6757 6.5518 Cl
4.6164 2.6919 10.3414 Cl
2.3074 1.3455 13.1870 Cl
```

Summary:
Symmetry = R3m, No. 160
M_tot = 0.000 μB per atom
Raw formation energy = -1.54 eV per atom

20.
Below is a geometry-optimized LiCuCl structure, with properties calculated at the PBE level.

Geometry as POSCAR:
```
LiCuCl
1.0
4.3401 0.0000 0.0000
2.1701 3.7586 0.0000
2.1701 1.2529 3.5437
Cl Cu Li
1 1 1
Cartesian
2.1701 1.2529 0.8859 Cl
0.0000 0.0000 0.0000 Cu
4.3401 2.5058 1.7718 Li
```

Summary:
Symmetry = F-43m, No. 216
ΔE to the lowest computed polymorph = 641 meV/atom
M_tot = 0.000 μB per atom
Raw formation energy = -0.19 eV per atom

21.
Below is a geometry-optimized LiCu2Cl6 structure, with properties calculated at the PBE level.

Geometry as POSCAR:
```
LiCu2Cl6
1.0
-4.7937 -4.0784 0.8349
1.1752 -6.2181 0.5135
-0.5765 -2.7322 7.4840
Li Cu Cl
1 2 6
Cartesian
-1.2051 -3.4309 0.4618 Li
-3.1421 -9.7669 6.6711 Cu
-2.2580 -6.6928 2.6227 Cu
-3.3306 -7.6471 6.4895 Cl
-0.0875 -6.8944 6.1243 Cl
-2.3864 -4.4589 6.0878 Cl
-0.7759 -5.1843 2.3142 Cl
-4.3238 -6.1549 2.7283 Cl
-1.6813 -8.7468 2.7497 Cl
```

Summary:
Symmetry = R3, No. 146
M_tot = 0.321 μB per atom
Raw formation energy = -0.57 eV per atom